(1)
# LaGe | Alexandria via LeMat-Bulk | PBE | relaxed
data_LaGe
_chemical_formula_sum 'La6 Ge6'
_symmetry_space_group_name_H-M 'P 1'
_symmetry_Int_Tables_number 1
_cell_length_a 8.4136
_cell_length_b 8.4136
_cell_length_c 8.4136
_cell_angle_alpha 90.00
_cell_angle_beta 90.00
_cell_angle_gamma 90.00
loop_
_symmetry_equiv_pos_as_xyz
'x,y,z'
loop_
_atom_site_label
_atom_site_type_symbol
_atom_site_fract_x
_atom_site_fract_y
_atom_site_fract_z
_atom_site_occupancy
La1 La 0.0000 0.2500 0.5000 1
La2 La 0.0000 0.7500 0.5000 1
La3 La 0.2500 0.5000 0.0000 1
La4 La 0.5000 0.0000 0.2500 1
La5 La 0.5000 0.0000 0.7500 1
La6 La 0.7500 0.5000 0.0000 1
Ge1 Ge 0.0000 0.5000 0.2500 1
Ge2 Ge 0.0000 0.5000 0.7500 1
Ge3 Ge 0.2500 0.0000 0.5000 1
Ge4 Ge 0.5000 0.2500 0.0000 1
Ge5 Ge 0.5000 0.7500 0.0000 1
Ge6 Ge 0.7500 0.0000 0.5000 1
# E_tot   -56.6 eV per cell
# Energy relative to the elements   0.05 eV/atom
# Volume   49.633 A^3/atom

***

(2)
# LaGe | Alexandria via LeMat-Bulk | PBE | relaxed
data_LaGe
_chemical_formula_sum 'La4 Ge4'
_symmetry_space_group_name_H-M 'P 1'
_symmetry_Int_Tables_number 1
_cell_length_a 9.3340
_cell_length_b 9.0788
_cell_length_c 6.0992
_cell_angle_alpha 72.93
_cell_angle_beta 68.41
_cell_angle_gamma 38.66
loop_
_symmetry_equiv_pos_as_xyz
'x,y,z'
loop_
_atom_site_label
_atom_site_type_symbol
_atom_site_fract_x
_atom_site_fract_y
_atom_site_fract_z
_atom_site_occupancy
La1 La 0.1224 0.6276 0.6276 1
La2 La 0.3724 0.8776 0.8776 1
La3 La 0.6276 0.1224 0.1224 1
La4 La 0.8776 0.3724 0.3724 1
Ge1 Ge 0.2422 0.2422 0.5078 1
Ge2 Ge 0.4922 0.4922 0.7578 1
Ge3 Ge 0.5078 0.5078 0.2422 1
Ge4 Ge 0.7578 0.7578 0.4922 1
# E_tot   -39.1 eV per cell
# Energy relative to the elements   -0.12 eV/atom
# Volume   37.524 A^3/atom

***

(3)
# LaGe | Alexandria via LeMat-Bulk | PBE | relaxed
data_LaGe
_chemical_formula_sum 'La4 Ge4'
_symmetry_space_group_name_H-M 'P 1'
_symmetry_Int_Tables_number 1
_cell_length_a 8.5048
_cell_length_b 4.1588
_cell_length_c 6.1088
_cell_angle_alpha 90.00
_cell_angle_beta 90.00
_cell_angle_gamma 90.00
loop_
_symmetry_equiv_pos_as_xyz
'x,y,z'
loop_
_atom_site_label
_atom_site_type_symbol
_atom_site_fract_x
_atom_site_fract_y
_atom_site_fract_z
_atom_site_occupancy
La1 La 0.1820 0.2500 0.1172 1
La2 La 0.3180 0.7500 0.6172 1
La3 La 0.6820 0.2500 0.3828 1
La4 La 0.8180 0.7500 0.8828 1
Ge1 Ge 0.0364 0.2500 0.6327 1
Ge2 Ge 0.4636 0.7500 0.1327 1
Ge3 Ge 0.5364 0.2500 0.8673 1
Ge4 Ge 0.9636 0.7500 0.3673 1
# E_tot   -44.9 eV per cell
# Energy relative to the elements   -0.84 eV/atom
# Volume   27.008 A^3/atom

***

(4)
# La3Ge | Alexandria via LeMat-Bulk | PBE | relaxed
data_La3Ge
_chemical_formula_sum 'La3 Ge1'
_symmetry_space_group_name_H-M 'P 1'
_symmetry_Int_Tables_number 1
_cell_length_a 6.1133
_cell_length_b 6.1133
_cell_length_c 6.1133
_cell_angle_alpha 133.69
_cell_angle_beta 133.69
_cell_angle_gamma 67.58
loop_
_symmetry_equiv_pos_as_xyz
'x,y,z'
loop_
_atom_site_label
_atom_site_type_symbol
_atom_site_fract_x
_atom_site_fract_y
_atom_site_fract_z
_atom_site_occupancy
La1 La 0.0000 0.0000 0.0000 1
La2 La 0.2500 0.7500 0.5000 1
La3 La 0.7500 0.2500 0.5000 1
Ge1 Ge 0.5000 0.5000 0.0000 1
# E_tot   -20.8 eV per cell
# Energy relative to the elements   -0.35 eV/atom
# Volume   29.364 A^3/atom

***

(5)
# LaGe | Alexandria via LeMat-Bulk | PBE | relaxed
data_LaGe
_chemical_formula_sum 'La1 Ge1'
_symmetry_space_group_name_H-M 'P 1'
_symmetry_Int_Tables_number 1
_cell_length_a 4.8183
_cell_length_b 4.8183
_cell_length_c 4.8183
_cell_angle_alpha 60.00
_cell_angle_beta 60.00
_cell_angle_gamma 60.00
loop_
_symmetry_equiv_pos_as_xyz
'x,y,z'
loop_
_atom_site_label
_atom_site_type_symbol
_atom_site_fract_x
_atom_site_fract_y
_atom_site_fract_z
_atom_site_occupancy
La1 La 0.0000 0.0000 0.0000 1
Ge1 Ge 0.2500 0.2500 0.2500 1
# E_tot   -9.6 eV per cell
# Energy relative to the elements   -0.05 eV/atom
# Volume   39.549 A^3/atom

***

(6)
# Li3LaGe2 | Alexandria via LeMat-Bulk | PBE | relaxed
data_Li3LaGe2
_chemical_formula_sum 'Li6 La2 Ge4'
_symmetry_space_group_name_H-M 'P 1'
_symmetry_Int_Tables_number 1
_cell_length_a 7.9986
_cell_length_b 7.9986
_cell_length_c 8.0028
_cell_angle_alpha 114.57
_cell_angle_beta 114.57
_cell_angle_gamma 31.63
loop_
_symmetry_equiv_pos_as_xyz
'x,y,z'
loop_
_atom_site_label
_atom_site_type_symbol
_atom_site_fract_x
_atom_site_fract_y
_atom_site_fract_z
_atom_site_occupancy
Li1 Li 0.0379 0.0379 0.3687 1
Li2 Li 0.3123 0.3123 0.5381 1
Li3 Li 0.4029 0.4029 0.3150 1
Li4 Li 0.5971 0.5971 0.6850 1
Li5 Li 0.6877 0.6877 0.4619 1
Li6 Li 0.9621 0.9621 0.6313 1
La1 La 0.1508 0.1508 0.0672 1
La2 La 0.8492 0.8492 0.9328 1
Ge1 Ge 0.1898 0.1898 0.7030 1
Ge2 Ge 0.4772 0.4772 0.8349 1
Ge3 Ge 0.5228 0.5228 0.1651 1
Ge4 Ge 0.8102 0.8102 0.2970 1
# E_tot   -46.0 eV per cell
# Energy relative to the elements   -0.52 eV/atom
# Volume   20.178 A^3/atom

***

(7)
# LiLa2Ge2 | Alexandria via LeMat-Bulk | PBE | relaxed
data_LiLa2Ge2
_chemical_formula_sum 'Li2 La4 Ge4'
_symmetry_space_group_name_H-M 'P 1'
_symmetry_Int_Tables_number 1
_cell_length_a 6.0953
_cell_length_b 6.0953
_cell_length_c 10.9613
_cell_angle_alpha 116.38
_cell_angle_beta 116.38
_cell_angle_gamma 43.65
loop_
_symmetry_equiv_pos_as_xyz
'x,y,z'
loop_
_atom_site_label
_atom_site_type_symbol
_atom_site_fract_x
_atom_site_fract_y
_atom_site_fract_z
_atom_site_occupancy
Li1 Li 0.2294 0.2294 0.3678 1
Li2 Li 0.7706 0.7706 0.6322 1
La1 La 0.3111 0.3111 0.9018 1
La2 La 0.4871 0.4871 0.6695 1
La3 La 0.5129 0.5129 0.3305 1
La4 La 0.6889 0.6889 0.0982 1
Ge1 Ge 0.0082 0.0082 0.8835 1
Ge2 Ge 0.1313 0.1313 0.5729 1
Ge3 Ge 0.8687 0.8687 0.4271 1
Ge4 Ge 0.9918 0.9918 0.1165 1
# E_tot   -49.3 eV per cell
# Energy relative to the elements   -0.73 eV/atom
# Volume   24.681 A^3/atom

***

(8)
# LiLa3Ge2 | Alexandria via LeMat-Bulk | PBE | relaxed
data_LiLa3Ge2
_chemical_formula_sum 'Li4 La12 Ge8'
_symmetry_space_group_name_H-M 'P 1'
_symmetry_Int_Tables_number 1
_cell_length_a 12.2560
_cell_length_b 4.5013
_cell_length_c 11.8968
_cell_angle_alpha 90.00
_cell_angle_beta 90.00
_cell_angle_gamma 90.00
loop_
_symmetry_equiv_pos_as_xyz
'x,y,z'
loop_
_atom_site_label
_atom_site_type_symbol
_atom_site_fract_x
_atom_site_fract_y
_atom_site_fract_z
_atom_site_occupancy
Li1 Li 0.1227 0.2500 0.1173 1
Li2 Li 0.3773 0.7500 0.6173 1
Li3 Li 0.6227 0.2500 0.3827 1
Li4 Li 0.8773 0.7500 0.8827 1
La1 La 0.0488 0.2500 0.3732 1
La2 La 0.1341 0.7500 0.9290 1
La3 La 0.2071 0.2500 0.6932 1
La4 La 0.2929 0.7500 0.1932 1
La5 La 0.3659 0.2500 0.4290 1
La6 La 0.4512 0.7500 0.8732 1
La7 La 0.5488 0.2500 0.1268 1
La8 La 0.6341 0.7500 0.5710 1
La9 La 0.7071 0.2500 0.8068 1
La10 La 0.7929 0.7500 0.3068 1
La11 La 0.8659 0.2500 0.0710 1
La12 La 0.9512 0.7500 0.6268 1
Ge1 Ge 0.0208 0.7500 0.1725 1
Ge2 Ge 0.1877 0.7500 0.5014 1
Ge3 Ge 0.3123 0.2500 0.0014 1
Ge4 Ge 0.4792 0.2500 0.6725 1
Ge5 Ge 0.5208 0.7500 0.3275 1
Ge6 Ge 0.6877 0.7500 0.9986 1
Ge7 Ge 0.8123 0.2500 0.4986 1
Ge8 Ge 0.9792 0.2500 0.8275 1
# E_tot   -119.2 eV per cell
# Energy relative to the elements   -0.65 eV/atom
# Volume   27.347 A^3/atom

***

(9)
# Li3La2Ge2 | Alexandria via LeMat-Bulk | PBE | relaxed
data_Li3La2Ge2
_chemical_formula_sum 'Li3 La2 Ge2'
_symmetry_space_group_name_H-M 'P 1'
_symmetry_Int_Tables_number 1
_cell_length_a 5.7520
_cell_length_b 5.7520
_cell_length_c 6.5190
_cell_angle_alpha 101.12
_cell_angle_beta 101.12
_cell_angle_gamma 48.71
loop_
_symmetry_equiv_pos_as_xyz
'x,y,z'
loop_
_atom_site_label
_atom_site_type_symbol
_atom_site_fract_x
_atom_site_fract_y
_atom_site_fract_z
_atom_site_occupancy
Li1 Li 0.0000 0.0000 0.0000 1
Li2 Li 0.1176 0.1176 0.4294 1
Li3 Li 0.8824 0.8824 0.5706 1
La1 La 0.3540 0.3540 0.2337 1
La2 La 0.6460 0.6460 0.7663 1
Ge1 Ge 0.3443 0.3443 0.7471 1
Ge2 Ge 0.6557 0.6557 0.2529 1
# E_tot   -28.3 eV per cell
# Energy relative to the elements   -0.50 eV/atom
# Volume   22.627 A^3/atom

***

(10)
# LiLa3Ge3 | Alexandria via LeMat-Bulk | PBE | relaxed
data_LiLa3Ge3
_chemical_formula_sum 'Li2 La6 Ge6'
_symmetry_space_group_name_H-M 'P 1'
_symmetry_Int_Tables_number 1
_cell_length_a 6.1107
_cell_length_b 6.1107
_cell_length_c 14.7019
_cell_angle_alpha 108.94
_cell_angle_beta 108.94
_cell_angle_gamma 43.70
loop_
_symmetry_equiv_pos_as_xyz
'x,y,z'
loop_
_atom_site_label
_atom_site_type_symbol
_atom_site_fract_x
_atom_site_fract_y
_atom_site_fract_z
_atom_site_occupancy
Li1 Li 0.2469 0.2469 0.4070 1
Li2 Li 0.7531 0.7531 0.5930 1
La1 La 0.2527 0.2527 0.7770 1
La2 La 0.3979 0.3979 0.0773 1
La3 La 0.4622 0.4622 0.6177 1
La4 La 0.5378 0.5378 0.3823 1
La5 La 0.6021 0.6021 0.9227 1
La6 La 0.7473 0.7473 0.2230 1
Ge1 Ge 0.0426 0.0426 0.2304 1
Ge2 Ge 0.1130 0.1130 0.0758 1
Ge3 Ge 0.1218 0.1218 0.5500 1
Ge4 Ge 0.8782 0.8782 0.4500 1
Ge5 Ge 0.8870 0.8870 0.9242 1
Ge6 Ge 0.9574 0.9574 0.7696 1
# E_tot   -71.7 eV per cell
# Energy relative to the elements   -0.76 eV/atom
# Volume   25.382 A^3/atom

***

(11)
# LiLa3Ge | Alexandria via LeMat-Bulk | PBE | relaxed
data_LiLa3Ge
_chemical_formula_sum 'Li1 La3 Ge1'
_symmetry_space_group_name_H-M 'P 1'
_symmetry_Int_Tables_number 1
_cell_length_a 5.8621
_cell_length_b 5.8621
_cell_length_c 5.8621
_cell_angle_alpha 90.00
_cell_angle_beta 90.00
_cell_angle_gamma 90.00
loop_
_symmetry_equiv_pos_as_xyz
'x,y,z'
loop_
_atom_site_label
_atom_site_type_symbol
_atom_site_fract_x
_atom_site_fract_y
_atom_site_fract_z
_atom_site_occupancy
Li1 Li 0.0000 0.0000 0.0000 1
La1 La 0.0000 0.5000 0.5000 1
La2 La 0.5000 0.0000 0.5000 1
La3 La 0.5000 0.5000 0.0000 1
Ge1 Ge 0.5000 0.5000 0.5000 1
# E_tot   -21.4 eV per cell
# Energy relative to the elements   -0.03 eV/atom
# Volume   40.289 A^3/atom

***

(12)
# Li7La3Ge4 | Alexandria via LeMat-Bulk | PBE | relaxed
data_Li7La3Ge4
_chemical_formula_sum 'Li7 La3 Ge4'
_symmetry_space_group_name_H-M 'P 1'
_symmetry_Int_Tables_number 1
_cell_length_a 8.7424
_cell_length_b 8.7424
_cell_length_c 8.5125
_cell_angle_alpha 118.88
_cell_angle_beta 118.88
_cell_angle_gamma 30.80
loop_
_symmetry_equiv_pos_as_xyz
'x,y,z'
loop_
_atom_site_label
_atom_site_type_symbol
_atom_site_fract_x
_atom_site_fract_y
_atom_site_fract_z
_atom_site_occupancy
Li1 Li 0.0000 0.0000 0.0000 1
Li2 Li 0.1454 0.1454 0.9510 1
Li3 Li 0.3330 0.3330 0.4887 1
Li4 Li 0.4854 0.4854 0.7951 1
Li5 Li 0.5146 0.5146 0.2049 1
Li6 Li 0.6670 0.6670 0.5113 1
Li7 Li 0.8546 0.8546 0.0490 1
La1 La 0.0000 0.0000 0.5000 1
La2 La 0.2710 0.2710 0.7762 1
La3 La 0.7290 0.7290 0.2238 1
Ge1 Ge 0.1332 0.1332 0.3219 1
Ge2 Ge 0.3613 0.3613 0.2141 1
Ge3 Ge 0.6387 0.6387 0.7859 1
Ge4 Ge 0.8668 0.8668 0.6781 1
# E_tot   -54.1 eV per cell
# Energy relative to the elements   -0.53 eV/atom
# Volume   20.592 A^3/atom

***

What did the sixth record say?
# Li3LaGe2 | Alexandria via LeMat-Bulk | PBE | relaxed
data_Li3LaGe2
_chemical_formula_sum 'Li6 La2 Ge4'
_symmetry_space_group_name_H-M 'P 1'
_symmetry_Int_Tables_number 1
_cell_length_a 7.9986
_cell_length_b 7.9986
_cell_length_c 8.0028
_cell_angle_alpha 114.57
_cell_angle_beta 114.57
_cell_angle_gamma 31.63
loop_
_symmetry_equiv_pos_as_xyz
'x,y,z'
loop_
_atom_site_label
_atom_site_type_symbol
_atom_site_fract_x
_atom_site_fract_y
_atom_site_fract_z
_atom_site_occupancy
Li1 Li 0.0379 0.0379 0.3687 1
Li2 Li 0.3123 0.3123 0.5381 1
Li3 Li 0.4029 0.4029 0.3150 1
Li4 Li 0.5971 0.5971 0.6850 1
Li5 Li 0.6877 0.6877 0.4619 1
Li6 Li 0.9621 0.9621 0.6313 1
La1 La 0.1508 0.1508 0.0672 1
La2 La 0.8492 0.8492 0.9328 1
Ge1 Ge 0.1898 0.1898 0.7030 1
Ge2 Ge 0.4772 0.4772 0.8349 1
Ge3 Ge 0.5228 0.5228 0.1651 1
Ge4 Ge 0.8102 0.8102 0.2970 1
# E_tot   -46.0 eV per cell
# Energy relative to the elements   -0.52 eV/atom
# Volume   20.178 A^3/atom

***

What is the E_tot in the second record? -39.1 eV per cell

***

Among the records above, which one has the lowest energy relative to the elements? number 3

***

The lowest E_tot belongs to which entry? LiLa3Ge2